Crystalline OsWCl2 at its relaxed geometry, computed with PBE-GGA.

Output
The density of states at the Fermi level comes out at 0.99 states/eV/atom. As for the offset from the most stable computed form: 1521 meV/atom. The uncorrected energy comes out at -5.570 eV/atom. The energy relative to the elements, uncorrected comes out at 1.399 eV/atom.

abc: 2.825 2.825 9.162
angles: 90.00 90.00 90.00
Space group P4/mmm (No. 123)
Unique sites:
Os: 0.000 0.000 0.000
W: 0.000 0.000 0.500
Cl: 0.500 0.500 0.328

=====

Crystalline Sr5Tl at its relaxed geometry, computed with PBE-GGA.

Output
The density of states at the Fermi level comes out at 1.07 states/eV/atom. As for the offset from the most stable computed form: 60 meV/atom. The uncorrected energy comes out at -1.876 eV/atom. The value obtained for the energy relative to the elements is -0.0804 eV per atom.

abc: 5.835 15.757 5.949
angles: 90.00 90.00 90.00
Space group Cmmm (No. 65)
Unique sites:
Sr: 0.000 0.000 0.000
Sr: 0.000 0.149 0.500
Sr: 0.000 0.344 0.000
Tl: 0.000 0.500 0.500

=====

Crystalline Nd4Tl2CdPd at its relaxed geometry, computed with PBE-GGA.

Output
The density of states at the Fermi level comes out at 0.82 states/eV/atom. The uncorrected energy comes out at -4.175 eV/atom. The value obtained for the energy relative to the elements is -0.4365 eV per atom.

abc: 5.4343 5.4343 26.3561
angles: 90.00 90.00 120.00
Space group R-3m (No. 166, hexagonal axes)
Unique sites:
Nd: 0.0000 0.0000 0.1159
Nd: 0.0000 0.0000 0.3678
Tl: 0.0000 0.0000 0.2419
Cd: 0.0000 0.0000 0.5000
Pd: 0.0000 0.0000 0.0000

=====

Crystalline KZr2Ir at its relaxed geometry, computed with PBE-GGA.

Output
The density of states at the Fermi level comes out at 0.98 states/eV/atom. As for the offset from the most stable computed form: 85 meV/atom. The uncorrected energy comes out at -6.685 eV/atom. The value obtained for the energy relative to the elements is 0.0785 eV per atom.

abc: 3.373 3.373 9.280
angles: 90.00 90.00 90.00
Space group P4mm (No. 99)
Unique sites:
K: 0.000 0.000 0.000
Zr: 0.000 0.000 0.592
Zr: 0.500 0.500 0.371
Ir: 0.500 0.500 0.726

=====

Crystalline Dy4Ho6Mg at its relaxed geometry, computed with PBE-GGA.

Output
The density of states at the Fermi level comes out at 1.12 states/eV/atom. The uncorrected energy comes out at -4.034 eV/atom. The value obtained for the energy relative to the elements is 0.2812 eV per atom.

abc: 6.451 6.451 16.957
angles: 90.00 90.00 90.00
Space group I-42m (No. 121)
Unique sites:
Dy: 0.183 0.183 0.329
Ho: 0.000 0.500 0.000
Ho: 0.175 0.175 0.133
Mg: 0.000 0.000 0.500

=====

Crystalline NaZnTcP at its relaxed geometry, computed with PBE-GGA.

Output
The density of states at the Fermi level comes out at 0.52 states/eV/atom. The uncorrected energy comes out at -4.787 eV/atom. The value obtained for the energy relative to the elements is -0.1950 eV per atom.

abc: 3.845 3.845 11.069
angles: 90.00 90.00 90.00
Space group P4/nmm (No. 129, origin choice 2)
Unique sites:
Na: 0.250 0.250 0.248
Zn: 0.250 0.750 0.000
Tc: 0.250 0.750 0.500
P: 0.250 0.250 0.630

=====

Crystalline BaTa2Mo at its relaxed geometry, computed with PBE-GGA.

Output
The density of states at the Fermi level comes out at 1.27 states/eV/atom. As for the offset from the most stable computed form: 716 meV/atom. The uncorrected energy comes out at -7.863 eV/atom. The value obtained for the energy relative to the elements is 1.2519 eV per atom.

abc: 5.688 10.438 2.874
angles: 90.00 90.00 90.00
Space group Cmmm (No. 65)
Unique sites:
Ba: 0.000 0.000 0.000
Ta: 0.250 0.250 0.500
Mo: 0.000 0.500 0.000

=====

Crystalline Pr2PI at its relaxed geometry, computed with PBE-GGA.

Output
The density of states at the Fermi level comes out at 0.28 states/eV/atom. The uncorrected energy comes out at -5.504 eV/atom. The energy relative to the elements, uncorrected comes out at -1.374 eV/atom.

abc: 4.2064 4.2064 23.5745
angles: 90.00 90.00 120.00
Space group R3m (No. 160, hexagonal axes)
Unique sites:
Pr: 0.0000 0.0000 0.0000
Pr: 0.0000 0.0000 0.2041
P: 0.0000 0.0000 0.6009
I: 0.0000 0.0000 0.7694

=====

Crystalline LaMg6Hg4 at its relaxed geometry, computed with PBE-GGA.

Output
The density of states at the Fermi level comes out at 0.49 states/eV/atom. The uncorrected energy comes out at -1.719 eV/atom. The value obtained for the energy relative to the elements is -0.2920 eV per atom.

abc: 8.0765 8.0765 4.5467
angles: 90.00 90.00 120.00
Space group P-6m2 (No. 187)
Unique sites:
La: 0.0000 0.0000 0.0000
Mg: 0.2047 0.4093 0.5000
Mg: 0.5339 0.0679 0.0000
Hg: 0.3333 0.6667 0.0000
Hg: 0.3887 0.1944 0.5000

=====

Crystalline K2Ag2Pd at its relaxed geometry, computed with PBE-GGA.

Output
The density of states at the Fermi level comes out at 0.77 states/eV/atom. As for the offset from the most stable computed form: 654 meV/atom. The uncorrected energy comes out at -1.967 eV/atom. The value obtained for the energy relative to the elements is 0.6509 eV per atom.

abc: 4.548 4.548 14.361
angles: 90.00 90.00 90.00
Space group I4/mmm (No. 139)
Unique sites:
K: 0.000 0.500 0.250
Ag: 0.000 0.000 0.090
Pd: 0.000 0.000 0.500

=====

Crystalline HgMo2Ir at its relaxed geometry, computed with PBE-GGA.

Output
The density of states at the Fermi level comes out at 1.52 states/eV/atom. The uncorrected energy comes out at -7.328 eV/atom. The value obtained for the energy relative to the elements is 0.3783 eV per atom.

abc: 3.222 3.222 6.541
angles: 90.00 90.00 90.00
Space group P4mm (No. 99)
Unique sites:
Hg: 0.000 0.000 0.000
Mo: 0.000 0.000 0.507
Mo: 0.500 0.500 0.715
Ir: 0.500 0.500 0.273

=====

Crystalline BiPd2Pb at its relaxed geometry, computed with PBE-GGA.

Output
The density of states at the Fermi level comes out at 0.39 states/eV/atom. The uncorrected energy comes out at -4.766 eV/atom. The value obtained for the energy relative to the elements is -0.2719 eV per atom.

abc: 4.147 6.278 6.792
angles: 90.00 90.07 90.00
Space group P2_1 (No. 4)
Unique sites:
Bi: 0.249 0.000 0.063
Pd: 0.250 0.572 0.233
Pd: 0.252 0.725 0.733
Pb: 0.249 0.287 0.560